Record 1
Compound: Ce2Zr3TaN6
Source: the Alexandria database
Functional: PBE
Structure: relaxed

Its formation energy (no corrections) is -1.50 eV per atom.

The space group is C2/m (No. 12) and the conventional cell measures 5.750, 9.956 and 5.820 Å, with angles of 90.00, 109.17 and 90.00 degrees. Symmetry generates all atoms from Ce at (0.000, 0.166, 0.000), Zr at (0.000, 0.000, 0.500), Zr at (0.000, 0.337, 0.500), Ta at (0.000, 0.500, 0.000), N at (0.229, 0.500, 0.734) and N at (0.244, 0.341, 0.261).

=====

Record 2
Compound: NaV3Ir
Source: the Alexandria database
Functional: PBE
Structure: relaxed

The formation energy is 20.49 kcal/mol of atoms. The value obtained for the relative energy among the computed polymorphs is 0.000 eV per atom.

The space group is Pm-3m (No. 221) and the conventional cell measures 4.823, 4.823 and 4.823 Å, with angles of 90.00, 90.00 and 90.00 degrees. Symmetry generates all atoms from Na at (0.000, 0.000, 0.000), V at (0.000, 0.500, 0.500) and Ir at (0.500, 0.500, 0.500).

=====

Record 3
Compound: Sr3Zn2Ge4
Source: the Alexandria database
Functional: PBE
Structure: relaxed

The formation energy is -12.19 kcal/mol of atoms.

The space group is C2/m (No. 12) and the conventional cell measures 11.911, 4.361 and 8.758 Å, with angles of 90.00, 96.75 and 90.00 degrees. Symmetry generates all atoms from Sr at (0.000, 0.000, 0.000), Sr at (0.161, 0.500, 0.671), Zn at (0.116, 0.500, 0.288), Ge at (0.061, 0.000, 0.389) and Ge at (0.209, 0.500, 0.048).

=====

Number 1: calculated total energy -9.780 eV per atom, DOS at the Fermi energy 0.517 states/eV/atom. Number 2: calculated total energy -6.619 eV per atom, DOS at the Fermi energy 1.189 states/eV/atom. Number 3: calculated total energy -3.425 eV per atom, DOS at the Fermi energy 0.157 states/eV/atom.